*a*
{"formula": "PmIn2Ni2", "functional": "GGA-PBE", "state": "relaxed", "lattice_angstrom": [[-1.773, 0.854, -4.054], [-4.129, -0.721, 1.654], [2.205, 9.663, 3.576]], "species": ["In", "In", "In", "In", "Pm", "Pm", "Ni", "Ni", "Ni", "Ni"], "frac_coords": [[0.500, 0.000, 0.000], [0.189, 0.189, 0.377], [0.811, 0.811, 0.623], [0.000, 0.500, 0.000], [0.365, 0.365, 0.731], [0.635, 0.635, 0.269], [0.750, 0.250, 0.500], [0.064, 0.064, 0.128], [0.936, 0.936, 0.872], [0.250, 0.750, 0.500]]}

=====

*b*
{"formula": "PmIn2Ni2", "functional": "GGA-PBE", "state": "relaxed", "lattice_angstrom": [[-2.142, -2.966, 1.862], [1.666, -3.390, -3.484], [4.479, 1.307, 2.711]], "species": ["Pm", "In", "In", "Ni", "Ni"], "frac_coords": [[0.000, 0.000, 0.000], [0.348, 0.418, 0.695], [0.652, 0.582, 0.305], [0.725, 0.118, 0.450], [0.275, 0.882, 0.550]]}

=====

Most stable of them? *b*.

=====

*a*
{"formula": "Pm3InNi2", "functional": "GGA-PBE", "state": "relaxed", "lattice_angstrom": [[-6.033, 2.208, 2.792], [-2.938, -5.613, 2.988], [1.147, 0.626, 6.882]], "species": ["Pm", "Pm", "Pm", "Pm", "Pm", "Pm", "Ni", "Ni", "Ni", "Ni", "In", "In"], "frac_coords": [[0.945, 0.250, 0.555], [0.555, 0.945, 0.250], [0.250, 0.555, 0.945], [0.055, 0.750, 0.445], [0.445, 0.055, 0.750], [0.750, 0.445, 0.055], [0.330, 0.330, 0.330], [0.670, 0.670, 0.670], [0.170, 0.170, 0.170], [0.830, 0.830, 0.830], [0.500, 0.500, 0.500], [0.000, 0.000, 0.000]]}

=====

*b*
{"formula": "Pm3InNi2", "functional": "GGA-PBE", "state": "relaxed", "lattice_angstrom": [[4.316, 0.000, 0.000], [0.000, 7.268, 0.000], [0.000, 0.000, 9.388]], "species": ["Pm", "Pm", "Pm", "Pm", "Pm", "Pm", "Ni", "Ni", "Ni", "Ni", "In", "In"], "frac_coords": [[0.500, 0.214, 0.757], [0.000, 0.325, 0.444], [0.500, 0.690, 0.836], [0.500, 0.714, 0.243], [0.500, 0.190, 0.164], [0.000, 0.825, 0.556], [0.500, 0.042, 0.449], [0.000, 0.977, 0.287], [0.500, 0.542, 0.551], [0.000, 0.477, 0.713], [0.000, 0.952, 0.989], [0.000, 0.452, 0.011]]}

=====

Most stable of them? *b*.

=====

*a*
{"formula": "Pr4InNi", "functional": "GGA-PBE", "state": "relaxed", "lattice_angstrom": [[-7.230, -6.844, 0.740], [-1.000, -6.987, -7.059], [2.308, -9.500, 2.018]], "species": ["Pr", "Pr", "Pr", "Pr", "Pr", "Pr", "Pr", "Pr", "Pr", "Pr", "Pr", "Pr", "Pr", "Pr", "Pr", "Pr", "Ni", "Ni", "Ni", "Ni", "In", "In", "In", "In"], "frac_coords": [[0.942, 0.942, 0.558], [0.558, 0.942, 0.942], [0.558, 0.558, 0.942], [0.813, 0.813, 0.187], [0.942, 0.558, 0.942], [0.813, 0.187, 0.187], [0.793, 0.402, 0.402], [0.402, 0.402, 0.402], [0.402, 0.402, 0.793], [0.402, 0.793, 0.402], [0.187, 0.187, 0.813], [0.187, 0.813, 0.187], [0.558, 0.942, 0.558], [0.187, 0.813, 0.813], [0.942, 0.558, 0.558], [0.813, 0.187, 0.813], [0.608, 0.177, 0.608], [0.177, 0.608, 0.608], [0.608, 0.608, 0.608], [0.608, 0.608, 0.177], [0.489, 0.170, 0.170], [0.170, 0.489, 0.170], [0.170, 0.170, 0.489], [0.170, 0.170, 0.170]]}

=====

*b*
{"formula": "Pr4InNi", "functional": "GGA-PBE", "state": "relaxed", "lattice_angstrom": [[-1.832, 2.746, -5.274], [-0.695, -6.494, -3.139], [-6.315, 1.503, 6.652]], "species": ["Ni", "Ni", "Pr", "Pr", "Pr", "Pr", "Pr", "Pr", "Pr", "Pr", "In", "In"], "frac_coords": [[0.304, 0.501, 0.001], [0.696, 0.499, 0.999], [0.809, 0.310, 0.620], [0.620, 0.368, 0.240], [0.000, 0.232, 0.000], [0.380, 0.128, 0.760], [0.000, 0.768, 0.000], [0.191, 0.690, 0.380], [0.620, 0.872, 0.240], [0.380, 0.632, 0.760], [0.194, 0.194, 0.389], [0.806, 0.806, 0.611]]}

=====

Most stable of them? *a*.

=====

*a*
{"formula": "Pr8In2Ni", "functional": "GGA-PBE", "state": "relaxed", "lattice_angstrom": [[5.257, 0.000, 0.000], [0.000, 7.005, 0.217], [-2.628, -2.697, 9.271]], "species": ["Pr", "Pr", "Pr", "Pr", "Pr", "Pr", "Pr", "Pr", "In", "In", "Ni"], "frac_coords": [[0.986, 0.219, 0.973], [0.591, 0.457, 0.181], [0.210, 0.300, 0.420], [0.354, 0.022, 0.708], [0.790, 0.700, 0.580], [0.409, 0.543, 0.819], [0.646, 0.978, 0.292], [0.014, 0.781, 0.027], [0.183, 0.745, 0.366], [0.817, 0.255, 0.634], [0.500, 0.000, 0.000]]}

=====

*b*
{"formula": "Pr8In2Ni", "functional": "GGA-PBE", "state": "relaxed", "lattice_angstrom": [[-4.811, 2.211, -2.181], [0.321, -9.316, -2.319], [0.821, 3.018, 9.082]], "species": ["Pr", "Pr", "Pr", "Pr", "Pr", "Pr", "Pr", "Pr", "In", "In", "Ni"], "frac_coords": [[0.005, 0.825, 0.228], [0.971, 0.108, 0.108], [0.277, 0.908, 0.668], [0.749, 0.185, 0.416], [0.005, 0.228, 0.825], [0.277, 0.668, 0.908], [0.749, 0.416, 0.185], [0.621, 0.621, 0.621], [0.500, 0.331, 0.724], [0.500, 0.724, 0.331], [0.343, 0.019, 0.019]]}

=====

Most stable of them? *b*.

=====

*a*
{"formula": "InNi2Pt2", "functional": "GGA-PBE", "state": "relaxed", "lattice_angstrom": [[7.241, 0.000, 0.000], [0.000, 7.241, 0.000], [0.000, 0.000, 2.925]], "species": ["Ni", "Ni", "Ni", "Ni", "Pt", "Pt", "Pt", "Pt", "In", "In"], "frac_coords": [[0.339, 0.161, 0.500], [0.839, 0.339, 0.500], [0.161, 0.661, 0.500], [0.661, 0.839, 0.500], [0.136, 0.364, 0.000], [0.636, 0.136, 0.000], [0.864, 0.636, 0.000], [0.364, 0.864, 0.000], [0.500, 0.500, 0.000], [0.000, 0.000, 0.000]]}

=====

*b*
{"formula": "InNi2Pt2", "functional": "GGA-PBE", "state": "relaxed", "lattice_angstrom": [[-3.381, 4.970, 3.784], [-4.446, -4.938, 2.512], [1.845, -0.493, 2.297]], "species": ["Pt", "Pt", "Pt", "Pt", "Ni", "Ni", "Ni", "Ni", "In", "In"], "frac_coords": [[0.166, 0.666, 0.500], [0.334, 0.166, 0.500], [0.666, 0.834, 0.500], [0.834, 0.334, 0.500], [0.872, 0.628, 0.000], [0.372, 0.872, 0.000], [0.128, 0.372, 0.000], [0.628, 0.128, 0.000], [0.500, 0.500, 0.000], [0.000, 0.000, 0.000]]}

=====

Most stable of them? *b*.

=====

*a*
{"formula": "InNi2Pt2", "functional": "GGA-PBE", "state": "relaxed", "lattice_angstrom": [[-1.186, 1.356, -3.310], [3.285, -0.968, -1.573], [-1.105, -4.948, -3.776]], "species": ["In", "Pt", "Pt", "Ni", "Ni"], "frac_coords": [[0.000, 0.000, 0.000], [0.250, 0.750, 0.500], [0.750, 0.250, 0.500], [0.401, 0.401, 0.198], [0.599, 0.599, 0.802]]}

=====

*b*
{"formula": "InNi2Pt2", "functional": "GGA-PBE", "state": "relaxed", "lattice_angstrom": [[-3.121, -1.527, -0.040], [1.506, -3.061, -0.661], [-0.324, -3.452, 6.114]], "species": ["Pt", "Pt", "Ni", "Ni", "In"], "frac_coords": [[0.394, 0.394, 0.213], [0.606, 0.606, 0.787], [0.750, 0.250, 0.500], [0.250, 0.750, 0.500], [0.000, 0.000, 0.000]]}

=====

Most stable of them? *b*.

=====

*a*
{"formula": "TlZnInNiPt", "functional": "GGA-PBE", "state": "relaxed", "lattice_angstrom": [[-0.868, 0.855, -3.208], [-1.523, -3.519, -0.526], [-7.373, 2.780, 2.755]], "species": ["Zn", "Ni", "Pt", "In", "Tl"], "frac_coords": [[0.856, 0.000, 0.220], [0.856, 0.500, 0.015], [0.355, 0.000, 0.993], [0.354, 0.500, 0.762], [0.358, 0.500, 0.395]]}

=====

*b*
{"formula": "TlZnInNiPt", "functional": "GGA-PBE", "state": "relaxed", "lattice_angstrom": [[-3.450, 0.629, 2.008], [1.578, -0.569, 2.889], [3.334, 6.747, -0.492]], "species": ["Ni", "Tl", "Zn", "Pt", "In"], "frac_coords": [[0.947, 0.000, 0.852], [0.766, 0.000, 0.488], [0.091, 0.500, 0.136], [0.579, 0.000, 0.114], [0.420, 0.500, 0.796]]}

=====

*c*
{"formula": "TlZnInNiPt", "functional": "GGA-PBE", "state": "relaxed", "lattice_angstrom": [[3.951, 0.000, -0.033], [0.000, 3.705, 0.000], [-1.932, 0.000, 6.657]], "species": ["Tl", "In", "Pt", "Ni", "Zn"], "frac_coords": [[0.365, 0.000, 0.877], [0.090, 0.000, 0.326], [0.553, 0.500, 0.254], [0.922, 0.500, 0.989], [0.742, 0.500, 0.629]]}

=====

*d*
{"formula": "TlZnInNiPt", "functional": "GGA-PBE", "state": "relaxed", "lattice_angstrom": [[4.110, -0.001, 0.000], [1.995, 4.863, -0.010], [1.993, 1.984, 4.582]], "species": ["Tl", "Zn", "In", "Pt", "Ni"], "frac_coords": [[0.397, 0.809, 0.514], [0.592, 0.135, 0.797], [0.791, 0.412, 0.122], [0.096, 0.851, 0.073], [0.099, 0.370, 0.551]]}

=====

Most stable of them? *d*.

=====

*a*
{"formula": "TlZnInNiPt", "functional": "GGA-PBE", "state": "relaxed", "lattice_angstrom": [[-2.483, 1.821, -1.672], [-1.941, -3.233, 3.073], [1.360, 5.400, 3.809]], "species": ["Tl", "Zn", "Pt", "Ni", "In"], "frac_coords": [[0.095, 0.936, 0.567], [0.292, 0.314, 0.219], [0.568, 0.871, 0.192], [0.808, 0.349, 0.505], [0.914, 0.560, 0.902]]}

=====

*b*
{"formula": "TlZnInNiPt", "functional": "GGA-PBE", "state": "relaxed", "lattice_angstrom": [[3.480, 0.000, 0.000], [0.000, 4.014, 0.000], [0.000, 0.000, 13.584]], "species": ["In", "In", "Ni", "Ni", "Pt", "Pt", "Tl", "Tl", "Zn", "Zn"], "frac_coords": [[0.500, 0.000, 0.630], [0.000, 0.500, 0.130], [0.000, 0.500, 0.935], [0.500, 0.000, 0.435], [0.500, 0.500, 0.288], [0.000, 0.000, 0.788], [0.000, 0.500, 0.475], [0.500, 0.000, 0.975], [0.500, 0.500, 0.795], [0.000, 0.000, 0.295]]}

=====

*c*
{"formula": "TlZnInNiPt", "functional": "GGA-PBE", "state": "relaxed", "lattice_angstrom": [[-3.473, -0.597, -2.648], [-0.968, -2.179, 1.761], [-2.187, 5.210, 5.244]], "species": ["Pt", "In", "Ni", "Zn", "Tl"], "frac_coords": [[0.597, 0.500, 0.837], [0.763, 0.000, 0.172], [0.278, 0.500, 0.202], [0.124, 0.000, 0.894], [0.428, 0.000, 0.510]]}

=====

Most stable of them? *c*.